BPIrI | PBE | optimized geometry

Values from the calculation:
**Energy**: -5.40 eV per atom
**DOS at the Fermi energy**: 0.2256 states/eV/atom
**Distance to the lowest polymorph of the same formula**: 93 meV/atom
**Total magnetization**: 0.00 μB per cell
**Crystal system**: triclinic
**Formation energy without anion corrections**: 228 meV/atom

a = 2.987 Å, b = 3.825 Å, c = 8.631 Å
α = 78.98°, β = 85.87°, γ = 67.21°
Element x y z (fractional)
B 0.192 0.073 0.822
P 0.383 0.752 0.673
Ir 0.915 0.595 0.897
I 0.910 0.467 0.215

***

LaTcSb2 | PBE | optimized geometry

Values from the calculation:
**Energy**: -6.16 eV per atom
**DOS at the Fermi energy**: 0.4183 states/eV/atom
**Distance to the lowest polymorph of the same formula**: 194 meV/atom
**Total magnetization**: 0.00 μB per cell
**Crystal system**: monoclinic
**Formation energy without anion corrections**: -272 meV/atom

a = 5.044 Å, b = 5.044 Å, c = 6.802 Å
α = 69.31°, β = 69.31°, γ = 41.09°
Element x y z (fractional)
Sb 0.804 0.804 0.619
Sb 0.996 0.996 0.969
La 0.195 0.195 0.258
Tc 0.506 0.506 0.654

***

FeNiTe | PBE | optimized geometry

Values from the calculation:
**Energy**: -5.65 eV per atom
**DOS at the Fermi energy**: 1.8721 states/eV/atom
**Total magnetization**: 3.52 μB per cell
**Crystal system**: cubic
**Formation energy without anion corrections**: 146 meV/atom

a = 4.168 Å, b = 4.168 Å, c = 4.168 Å
α = 60.00°, β = 60.00°, γ = 60.00°
Site moments in Bohr magnetons follow the coordinates.
Element x y z (fractional)
Te 0.000 0.000 0.000  0.07
Fe 0.500 0.500 0.500  2.93
Ni 0.750 0.750 0.750  0.42

***

Zn2SCl | PBE | optimized geometry

Values from the calculation:
**Energy**: -2.55 eV per atom
**DOS at the Fermi energy**: 0.2476 states/eV/atom
**Distance to the lowest polymorph of the same formula**: 0 meV/atom
**Total magnetization**: 0.00 μB per cell
**Crystal system**: trigonal
**Formation energy without anion corrections**: -424 meV/atom

a = 4.088 Å, b = 4.088 Å, c = 19.854 Å
α = 90.00°, β = 90.00°, γ = 60.00°
Element x y z (fractional)
Zn 0.002 0.665 0.883
Cl 0.000 0.665 0.000
Zn 0.998 0.667 0.117
Zn 0.665 0.333 0.216
Zn 0.333 0.002 0.550
Cl 0.335 0.000 0.667
S 0.000 0.669 0.500
Zn 0.335 0.998 0.784
Cl 0.665 0.335 0.333
S 0.331 0.000 0.167
Zn 0.667 0.335 0.450
S 0.669 0.331 0.833

***

La2CuIr | PBE | optimized geometry

Values from the calculation:
**Energy**: -6.07 eV per atom
**DOS at the Fermi energy**: 1.4291 states/eV/atom
**ΔE_f**: -0.370 eV/atom
**Total magnetization**: 0.00 μB per cell
**Crystal system**: trigonal

a = 7.490 Å, b = 7.490 Å, c = 7.490 Å
α = 33.73°, β = 33.73°, γ = 33.73°
Element x y z (fractional)
La 0.040 0.040 0.040
La 0.210 0.210 0.210
Ir 0.792 0.792 0.792
Cu 0.458 0.458 0.458

***

Ac6MgAl2 | PBE | optimized geometry

Values from the calculation:
**Energy**: -3.86 eV per atom
**DOS at the Fermi energy**: 1.2337 states/eV/atom
**ΔE_f**: -0.116 eV/atom
**Total magnetization**: 0.00 μB per cell
**Crystal system**: orthorhombic

a = 9.606 Å, b = 9.606 Å, c = 9.606 Å
α = 105.81°, β = 112.29°, γ = 110.38°
Element x y z (fractional)
Ac 0.091 0.273 0.818
Ac 0.455 0.273 0.182
Ac 0.205 0.244 0.448
Ac 0.709 0.029 0.321
Mg 0.000 0.500 0.500
Al 0.366 0.000 0.366
Ac 0.545 0.727 0.818
Ac 0.291 0.612 0.321
Al 0.500 0.385 0.885
Ac 0.709 0.388 0.679
Al 0.634 0.000 0.634
Ac 0.795 0.244 0.039
Ac 0.909 0.727 0.182
Ac 0.795 0.756 0.552
Al 0.500 0.615 0.115
Ac 0.205 0.756 0.961
Ac 0.291 0.971 0.679
Mg 0.000 0.000 0.000

***

TmSiI | PBE | optimized geometry

Values from the calculation:
**Energy**: -4.35 eV per atom
**DOS at the Fermi energy**: 0.5689 states/eV/atom
**Total magnetization**: 0.00 μB per cell
**Crystal system**: triclinic
**Formation energy without anion corrections**: -536 meV/atom

a = 3.963 Å, b = 8.006 Å, c = 7.602 Å
α = 64.81°, β = 105.14°, γ = 104.73°
Element x y z (fractional)
Si 0.031 0.660 0.898
Tm 0.636 0.562 0.207
I 0.330 0.768 0.384
I 0.670 0.232 0.616
Tm 0.364 0.438 0.793
Si 0.969 0.340 0.102

***

LiNbSi2 | PBE | optimized geometry

Values from the calculation:
**Energy**: -5.57 eV per atom
**DOS at the Fermi energy**: 0.0803 states/eV/atom
**Distance to the lowest polymorph of the same formula**: 428 meV/atom
**Total magnetization**: 0.00 μB per cell
**Crystal system**: tetragonal
**Formation energy without anion corrections**: 141 meV/atom

a = 6.692 Å, b = 6.692 Å, c = 5.449 Å
α = 52.12°, β = 52.12°, γ = 90.00°
Element x y z (fractional)
Nb 0.750 0.250 0.500
Si 0.375 0.404 0.750
Si 0.154 0.625 0.250
Nb 0.000 0.000 0.000
Si 0.875 0.846 0.750
Si 0.596 0.125 0.250
Li 0.500 0.500 0.000
Li 0.250 0.750 0.500

***

What did the fourth record say?
Zn2SCl | PBE | optimized geometry

Values from the calculation:
**Energy**: -2.55 eV per atom
**DOS at the Fermi energy**: 0.2476 states/eV/atom
**Distance to the lowest polymorph of the same formula**: 0 meV/atom
**Total magnetization**: 0.00 μB per cell
**Crystal system**: trigonal
**Formation energy without anion corrections**: -424 meV/atom

a = 4.088 Å, b = 4.088 Å, c = 19.854 Å
α = 90.00°, β = 90.00°, γ = 60.00°
Element x y z (fractional)
Zn 0.002 0.665 0.883
Cl 0.000 0.665 0.000
Zn 0.998 0.667 0.117
Zn 0.665 0.333 0.216
Zn 0.333 0.002 0.550
Cl 0.335 0.000 0.667
S 0.000 0.669 0.500
Zn 0.335 0.998 0.784
Cl 0.665 0.335 0.333
S 0.331 0.000 0.167
Zn 0.667 0.335 0.450
S 0.669 0.331 0.833